Entry from the Alexandria database: a relaxed structure of Ac2Ga2Os (GGA-PBE).

Results
**SG**: No. 36
**V**: 28.59 A^3/atom

```
10
Lattice="4.520 0.000 0.000 0.000 7.989 0.000 -2.260 0.000 7.918" Properties=species:S:1:pos:R:3 pbc="T T T"
Ac 2.260 5.639 7.163
Ac 0.000 7.225 3.888
Ac 0.000 1.645 0.754
Ac 2.260 3.231 4.029
Ga 0.000 4.543 2.213
Ga 2.260 7.122 1.071
Ga 0.000 3.128 6.847
Ga 2.260 0.549 5.705
Os 2.260 4.504 1.175
Os 0.000 0.510 6.742
```

---

Entry from the Alexandria database: a relaxed structure of AcGaOs (GGA-PBE).

Results
**SG**: No. 107
**V**: 22.05 A^3/atom

```
3
Lattice="-2.983 1.283 -1.020 -0.245 -2.444 -2.357 -1.104 -2.760 5.436" Properties=species:S:1:pos:R:3 pbc="T T T"
Os -2.686 -1.897 -0.211
Ac -0.062 -0.076 0.085
Ga -1.585 -1.948 2.185
```

---

Entry from the Alexandria database: a relaxed structure of AcGa3Os (GGA-PBE).

Results
**SG**: No. 194
**V**: 20.87 A^3/atom

```
10
Lattice="5.890 0.000 0.000 0.000 6.396 0.000 0.000 -3.198 5.539" Properties=species:S:1:pos:R:3 pbc="T T T"
Os 2.945 0.000 0.000
Os 0.000 0.000 0.000
Ga 4.417 -1.384 4.492
Ga 1.472 3.198 3.444
Ga 1.472 1.814 1.047
Ga 4.417 1.384 4.492
Ga 4.417 0.000 2.095
Ga 1.472 4.582 1.047
Ac 4.417 3.198 1.846
Ac 1.473 0.000 3.692
```

---

Entry from the Alexandria database: a relaxed structure of Ac8Ga2Os (GGA-PBE).

Results
**SG**: No. 12
**V**: 38.36 A^3/atom

```
11
Lattice="-3.026 0.012 3.501 6.418 -2.437 5.556 3.405 10.022 -0.150" Properties=species:S:1:pos:R:3 pbc="T T T"
Ga 5.290 1.580 4.567
Ga 1.507 6.017 4.340
Ac 2.164 0.744 4.927
Ac 5.422 8.072 7.718
Ac 3.815 3.818 6.343
Ac 1.374 -0.475 1.190
Ac 4.632 6.853 3.981
Ac 2.982 3.780 2.565
Ac 5.398 0.450 7.723
Ac 1.399 7.148 1.185
Os -1.513 0.006 1.751
```

---

Entry from the Alexandria database: a relaxed structure of Ac3Ga7Os2 (GGA-PBE).

Results
**SG**: No. 139
**V**: 24.84 A^3/atom

```
12
Lattice="-3.297 3.451 0.487 -3.408 -3.052 -1.446 1.382 -3.817 12.758" Properties=species:S:1:pos:R:3 pbc="T T T"
Ga -0.756 -1.387 4.708
Ga -2.075 -2.207 1.589
Ga -3.304 -4.462 9.243
Ga -4.568 -2.031 7.091
Ga -2.020 1.044 2.556
Ga -3.249 -1.211 10.210
Ga 0.000 0.000 0.000
Os -0.367 -0.674 2.288
Os -4.956 -2.744 9.510
Ac -3.353 0.200 -0.479
Ac -4.089 -1.153 4.110
Ac -1.234 -2.265 7.689
```

---

Entry from the Alexandria database: a relaxed structure of Ac3Ga2Os (GGA-PBE).

Results
**SG**: No. 62
**V**: 30.08 A^3/atom

```
24
Lattice="4.407 0.000 0.000 0.000 12.798 0.000 0.000 0.000 12.803" Properties=species:S:1:pos:R:3 pbc="T T T"
Os 3.305 8.068 4.780
Os 1.102 4.730 8.023
Os 3.305 11.128 11.181
Os 1.102 1.669 1.622
Ac 3.305 2.652 3.590
Ac 3.305 11.152 5.679
Ac 1.102 9.051 2.812
Ac 1.102 0.654 11.317
Ac 3.305 12.144 1.486
Ac 1.102 1.646 7.123
Ac 3.305 7.053 7.888
Ac 3.305 3.747 9.991
Ac 3.305 8.045 12.081
Ac 1.102 10.145 9.213
Ac 1.102 4.753 0.722
Ac 1.102 5.745 4.915
Ga 3.305 12.616 8.944
Ga 1.102 6.217 10.261
Ga 3.305 4.019 6.755
Ga 1.102 10.418 12.449
Ga 1.102 0.182 3.859
Ga 3.305 6.581 2.542
Ga 1.102 8.779 6.048
Ga 3.305 2.380 0.354
```

---

no.,uncorrected energy (eV/atom)
1,-5.32
2,-6.11
3,-5.22
4,-4.71
5,-5.02
6,-5.26